[1]
BaBe6As4 (PBE-GGA, optimized geometry); volume = 181 Å³ per cell; raw total energy = -43.97 eV/f.u.; density of states at the Fermi level = 0.250 states/eV per atom; symmetry = Fmmm (69)
1.0
-1.932 -3.198 0.406
3.386 -1.483 0.677
-2.165 4.808 12.047
Ba Be As
1 6 4
Direct
0.000 0.000 0.000
0.750 0.250 0.500
0.869 0.369 0.738
0.131 0.631 0.262
0.631 0.131 0.262
0.369 0.869 0.738
0.250 0.750 0.500
0.417 0.417 0.834
0.194 0.194 0.388
0.806 0.806 0.612
0.583 0.583 0.166

[2]
K2HoI5 (PBE-GGA, optimized geometry); volume = 496 Å³ per cell; density of states at the Fermi level = 0.000 states/eV per atom; energy above the lowest structure with this stoichiometry = 59 meV per atom; symmetry = I4mm (107); raw formation energy = -1360 meV per atom
1.0
-4.885 -3.126 -6.674
7.306 -3.069 -3.910
-1.881 -2.419 8.366
K Ho I
2 1 5
Direct
0.173 0.673 0.346
0.673 0.173 0.346
0.989 0.989 0.979
0.811 0.277 0.088
0.277 0.277 0.088
0.811 0.811 0.088
0.277 0.811 0.088
0.765 0.765 0.530

[3]
BaCo2Te (PBE-GGA, optimized geometry); volume = 86 Å³ per cell; density of states at the Fermi level = 1.822 states/eV per atom; symmetry = P4/mmm (123); raw formation energy = 545 meV per atom
1.0
4.716 0.000 0.000
0.000 4.722 0.000
0.000 0.000 3.878
Ba Co Te
1 2 1
Direct
0.000 0.500 0.500
0.000 0.000 0.000
0.500 0.500 0.000
0.500 0.000 0.500